The following is a PBE-GGA calculation of a relaxed Na2TlBi crystal, from the Alexandria database.

Structure (CIF):
```
data_Na2TlBi
_symmetry_space_group_name_H-M 'I -4 2 d'
_symmetry_Int_Tables_number 122
_symmetry_space_group_name_Hall 'I -4 2bw'
_cell_length_a 4.854
_cell_length_b 4.854
_cell_length_c 21.822
_cell_angle_alpha 90.00
_cell_angle_beta 90.00
_cell_angle_gamma 90.00
loop_
_atom_site_label
_atom_site_fract_x
_atom_site_fract_y
_atom_site_fract_z
Na1 0.243 0.250 0.125
Tl1 0.000 0.000 0.500
Bi1 0.000 0.000 0.000
```

Summary:
For the density of states at the Fermi level, the calculation gives 9.34 states/eV per cell. Its excess energy over the best structure of this formula in the dataset is 1.01 eV/f.u. For the magnetization, the calculation gives 0.0 μB per cell. The value obtained for the formation enthalpy at 0 K is -0.149 eV/f.u.